Computed, not measured: CuRe2Au after structural relaxation at the GGA-PBEsol level of DFT.

Unit cell a=2.7979 b=2.7979 c=7.3974 alpha=90.00 beta=90.00 gamma=90.00
Closest atoms and distances in Å follow each position.
Sites, in units of the cell vectors:
Re 0.0000 0.0000 0.9989  8 Re 2.62-2.80, 4 Cu 2.67
Re 0.5000 0.5000 0.2317  8 Re 2.62-2.80, 4 Au 2.87
Cu 0.5000 0.5000 0.7559  4 Au 2.67, 4 Re 2.67, 4 Cu 2.80
Au 0.0000 0.0000 0.5134  4 Cu 2.67, 4 Au 2.80, 4 Re 2.87

Calculated values
- symmetry = P4mm
- crystal system = tetragonal
- calculated formation energy (eV/f.u.) = 1.0
- magnetic moment (μB/atom) = 0.000

Computed, not measured: Ca2InBi2 after structural relaxation at the GGA-PBEsol level of DFT.

Unit cell a=3.6412 b=9.1426 c=9.1426 alpha=90.00 beta=90.00 gamma=90.00
Closest atoms and distances in Å follow each position.
Sites, in units of the cell vectors:
Ca 0.5000 0.6392 0.8608  6 Bi 3.15-3.30
Ca 0.5000 0.3608 0.1392  6 Bi 3.15-3.30
Ca 0.5000 0.1392 0.6392  6 Bi 3.15-3.30
Ca 0.5000 0.8608 0.3608  6 Bi 3.15-3.30
Bi 0.0000 0.1616 0.3384  6 Ca 3.15-3.30, 2 In 3.43
Bi 0.0000 0.3384 0.8384  6 Ca 3.15-3.30, 2 In 3.43
Bi 0.0000 0.6616 0.1616  6 Ca 3.15-3.30, 2 In 3.43
Bi 0.0000 0.8384 0.6616  6 Ca 3.15-3.30, 2 In 3.43
In 0.0000 0.5000 0.5000  4 Bi 3.43, 2 In 3.64
In 0.0000 0.0000 0.0000  4 Bi 3.43, 2 In 3.64

Calculated values
- symmetry = P4/mbm
- crystal system = tetragonal
- calculated formation energy (eV/f.u.) = -2.8
- magnetic moment (μB/atom) = 0.000

Computed, not measured: Tl2Cd after structural relaxation at the GGA-PBEsol level of DFT.

Unit cell a=3.4143 b=6.3695 c=7.7677 alpha=105.80 beta=90.00 gamma=105.55
Closest atoms and distances in Å follow each position.
Sites, in units of the cell vectors:
Tl 0.6430 0.2860 0.5458  4 Cd 3.22-3.30, 8 Tl 3.37-3.48
Tl 0.3237 0.6474 0.8840  5 Cd 3.18-3.56, 7 Tl 3.36-3.48
Tl 0.3570 0.7140 0.4542  4 Cd 3.22-3.30, 8 Tl 3.37-3.48
Tl 0.6763 0.3526 0.1160  5 Cd 3.18-3.56, 7 Tl 3.36-3.48
Cd 0.9776 0.9552 0.2085  9 Tl 3.18-3.56, 3 Cd 3.41-3.43
Cd 0.0224 0.0448 0.7915  9 Tl 3.18-3.56, 3 Cd 3.41-3.43

Calculated values
- symmetry = C2/m
- crystal system = monoclinic
- calculated formation energy (eV/f.u.) = 0.2
- magnetic moment (μB/atom) = 0.000

Computed, not measured: Tm2Pd2Pb after structural relaxation at the GGA-PBEsol level of DFT.

Unit cell a=3.4663 b=7.7648 c=7.7648 alpha=90.00 beta=90.00 gamma=90.00
Closest atoms and distances in Å follow each position.
Sites, in units of the cell vectors:
Tm 0.5000 0.1692 0.3308  6 Pd 2.84-2.89
Tm 0.5000 0.3308 0.8308  6 Pd 2.84-2.89
Tm 0.5000 0.8308 0.6692  6 Pd 2.84-2.89
Tm 0.5000 0.6692 0.1692  6 Pd 2.84-2.89
Pd 0.0000 0.3742 0.1258  1 Pd 2.76, 6 Tm 2.84-2.89, 2 Pb 3.07
Pd 0.0000 0.1258 0.6258  1 Pd 2.76, 6 Tm 2.84-2.89, 2 Pb 3.07
Pd 0.0000 0.8742 0.3742  1 Pd 2.76, 6 Tm 2.84-2.89, 2 Pb 3.07
Pd 0.0000 0.6258 0.8742  1 Pd 2.76, 6 Tm 2.84-2.89, 2 Pb 3.07
Pb 0.0000 0.5000 0.5000  4 Pd 3.07, 8 Tm 3.37
Pb 0.0000 0.0000 0.0000  4 Pd 3.07, 8 Tm 3.37

Calculated values
- symmetry = P4/mbm
- crystal system = tetragonal
- calculated formation energy (eV/f.u.) = -4.3
- magnetic moment (μB/atom) = 0.000

Computed, not measured: La4MnCu6S10 after structural relaxation at the GGA-PBEsol level of DFT.

Unit cell a=6.4578 b=7.2134 c=8.6971 alpha=83.31 beta=74.23 gamma=89.82
Closest atoms and distances in Å follow each position.
Sites, in units of the cell vectors:
Mn 0.5000 0.5000 0.5000  6 S 2.50-2.71
S 0.4789 0.5802 0.2167  3 Cu 2.34-2.41, 1 Mn 2.50
S 0.9090 0.2712 0.9986  1 Cu 2.28
S 0.5211 0.4198 0.7833  3 Cu 2.34-2.41, 1 Mn 2.50
S 0.8734 0.7036 0.4277  2 Cu 2.23-2.28
S 0.0910 0.7288 0.0014  1 Cu 2.28
S 0.3225 0.8067 0.5828  3 Cu 2.31-2.34, 1 Mn 2.58
S 0.1266 0.2964 0.5723  2 Cu 2.23-2.28
S 0.6872 0.9128 0.8327  3 Cu 2.28-2.48
S 0.3128 0.0872 0.1673  3 Cu 2.28-2.48
S 0.6775 0.1933 0.4172  3 Cu 2.31-2.34, 1 Mn 2.58
Cu 0.3291 0.0946 0.4256  4 S 2.23-2.34
Cu 0.7692 0.2124 0.6540  4 S 2.28-2.48, 1 Cu 2.53
Cu 0.2308 0.7876 0.3460  4 S 2.28-2.48, 1 Cu 2.53
Cu 0.6709 0.9054 0.5744  4 S 2.23-2.34
Cu 0.5518 0.3334 0.0469  4 S 2.28-2.41
Cu 0.4482 0.6666 0.9531  4 S 2.28-2.41
La 0.0580 0.4112 0.2468  7 S 2.84-3.00
La 0.9420 0.5888 0.7532  7 S 2.84-3.00
La 0.2750 0.0738 0.8251  7 S 2.85-3.06
La 0.7250 0.9262 0.1749  7 S 2.85-3.06

Calculated values
- symmetry = P-1
- crystal system = triclinic
- magnetic moment (μB/atom) = 0.238
- uncorrected formation energy (eV per atom) = -1.23

Computed, not measured: La5Mg after structural relaxation at the GGA-PBEsol level of DFT.

Unit cell a=6.2633 b=6.2633 c=6.7730 alpha=62.46 beta=62.46 gamma=60.00
Closest atoms and distances in Å follow each position.
Sites, in units of the cell vectors:
La 0.6271 0.0000 0.0000  8 La 3.42-3.63, 2 Mg 3.48
La 0.0000 0.3729 0.0000  8 La 3.42-3.63, 2 Mg 3.48
La 0.3729 0.6271 0.0000  8 La 3.42-3.63, 2 Mg 3.48
La 0.8440 0.8440 0.4681  9 La 3.56-3.63, 3 Mg 3.62
La 0.1560 0.1560 0.5319  9 La 3.56-3.63, 3 Mg 3.62
Mg 0.5000 0.5000 0.5000  12 La 3.48-3.62

Calculated values
- symmetry = R32
- crystal system = trigonal
- calculated formation energy (eV/f.u.) = 0.0
- magnetic moment (μB/atom) = 0.000

Computed, not measured: CrSiSb after structural relaxation at the GGA-PBEsol level of DFT.

Unit cell a=3.1242 b=3.1242 c=5.8343 alpha=90.00 beta=90.00 gamma=120.00
Closest atoms and distances in Å follow each position.
Sites, in units of the cell vectors:
Cr 0.0000 0.0000 0.0202  3 Si 2.39, 3 Sb 2.63
Si 0.3333 0.6667 0.2882  3 Cr 2.39
Sb 0.6667 0.3333 0.6917  3 Cr 2.63

Calculated values
- symmetry = P3m1
- crystal system = trigonal
- magnetic moment (μB/atom) = 0.185
- uncorrected formation energy (eV per atom) = 0.23

Computed, not measured: MgSbPdI2 after structural relaxation at the GGA-PBEsol level of DFT.

Unit cell a=5.2437 b=5.4036 c=5.4036 alpha=90.00 beta=90.00 gamma=90.00
Closest atoms and distances in Å follow each position.
Sites, in units of the cell vectors:
Mg 0.5000 0.5000 0.5000  8 I 3.76, 4 Sb 3.82
I 0.0000 0.0000 0.5000  2 Pd 2.70
I 0.0000 0.5000 0.0000  2 Pd 2.70
Pd 0.0000 0.0000 0.0000  2 Sb 2.62, 4 I 2.70
Sb 0.5000 0.0000 0.0000  2 Pd 2.62

Calculated values
- symmetry = P4/mmm
- crystal system = tetragonal
- magnetic moment (μB/atom) = 0.107
- uncorrected formation energy (eV per atom) = 0.12

Computed, not measured: MgFeAs after structural relaxation at the GGA-PBEsol level of DFT.

Unit cell a=3.0120 b=3.0120 c=5.9968 alpha=90.00 beta=90.00 gamma=120.00
Closest atoms and distances in Å follow each position.
Sites, in units of the cell vectors:
Fe 0.3333 0.6667 0.6958  3 As 2.31
As 0.0000 0.0000 0.9500  3 Fe 2.31
Mg 0.6667 0.3333 0.3542  3 Fe 2.69, 3 As 2.98

Calculated values
- symmetry = P3m1
- crystal system = trigonal
- calculated formation energy (eV/f.u.) = 0.0
- magnetic moment (μB/atom) = 0.334

Computed, not measured: TaTiCN after structural relaxation at the GGA-PBEsol level of DFT.

Unit cell a=3.0650 b=3.0650 c=5.3361 alpha=73.31 beta=73.31 gamma=60.00
Closest atoms and distances in Å follow each position.
Sites, in units of the cell vectors:
Ti 0.7463 0.7463 0.7612  3 C 2.12, 3 N 2.19
N 0.4989 0.4989 0.5033  3 Ti 2.19, 3 Ta 2.20
C 0.0022 0.0022 0.9933  3 Ti 2.12, 3 Ta 2.17
Ta 0.2526 0.2526 0.2423  3 C 2.17, 3 N 2.20

Calculated values
- symmetry = R3m
- crystal system = trigonal
- magnetic moment (μB/atom) = 0.000
- uncorrected formation energy (eV per atom) = -1.22

Computed, not measured: MgTc2Pd after structural relaxation at the GGA-PBEsol level of DFT.

Unit cell a=4.3681 b=4.3681 c=4.3681 alpha=60.00 beta=60.00 gamma=60.00
Closest atoms and distances in Å follow each position.
Sites, in units of the cell vectors:
Mg 0.0000 0.0000 0.0000  8 Tc 2.67
Tc 0.7500 0.7500 0.7500  4 Mg 2.67, 4 Pd 2.67
Tc 0.2500 0.2500 0.2500  4 Pd 2.67, 4 Mg 2.67
Pd 0.5000 0.5000 0.5000  8 Tc 2.67

Calculated values
- symmetry = Fm-3m
- crystal system = cubic
- calculated formation energy (eV/f.u.) = 2.2
- magnetic moment (μB/atom) = 0.004

Computed, not measured: TiAlH2 after structural relaxation at the GGA-PBEsol level of DFT.

Unit cell a=4.1383 b=4.1383 c=5.2700 alpha=113.12 beta=113.12 gamma=90.00
Closest atoms and distances in Å follow each position.
Sites, in units of the cell vectors:
Al 0.7500 0.2500 0.5000  4 H 1.87
Al 0.5000 0.5000 0.0000  4 H 1.87
Ti 0.2500 0.7500 0.5000  4 H 1.79
Ti 0.0000 0.0000 0.0000  4 H 1.79
H 0.8928 0.3750 0.2500  2 Ti 1.79, 2 Al 1.87
H 0.6250 0.6428 0.7500  2 Ti 1.79, 2 Al 1.87
H 0.1250 0.1072 0.7500  2 Ti 1.79, 2 Al 1.87
H 0.3572 0.8750 0.2500  2 Ti 1.79, 2 Al 1.87

Calculated values
- symmetry = I-42d
- crystal system = tetragonal
- E (eV/atom) = -4.905
- magnetic moment (μB/atom) = 0.000

Computed, not measured: AlCd2Te after structural relaxation at the GGA-PBEsol level of DFT.

Unit cell a=3.8457 b=3.8457 c=6.3053 alpha=90.00 beta=90.00 gamma=90.00
Closest atoms and distances in Å follow each position.
Sites, in units of the cell vectors:
Cd 0.5000 0.5000 0.1939  4 Cd 2.91, 1 Al 3.01
Cd 0.0000 0.0000 0.0312  4 Cd 2.91, 1 Te 2.98
Te 0.0000 0.0000 0.5587  4 Al 2.89, 1 Cd 2.98
Al 0.5000 0.5000 0.7161  4 Te 2.89, 1 Cd 3.01

Calculated values
- symmetry = P4mm
- crystal system = tetragonal
- magnetic moment (μB/atom) = 0.000
- uncorrected formation energy (eV per atom) = 0.07

Computed, not measured: AlSb2W after structural relaxation at the GGA-PBEsol level of DFT.

Unit cell a=4.8056 b=4.8056 c=4.8056 alpha=60.00 beta=60.00 gamma=60.00
Closest atoms and distances in Å follow each position.
Sites, in units of the cell vectors:
W 0.2500 0.2500 0.2500  4 Al 2.94, 4 Sb 2.94
Al 0.5000 0.5000 0.5000  4 Sb 2.94, 4 W 2.94
Sb 0.7500 0.7500 0.7500  4 Sb 2.94, 4 Al 2.94
Sb 0.0000 0.0000 0.0000  4 W 2.94, 4 Sb 2.94

Calculated values
- symmetry = F-43m
- crystal system = cubic
- magnetic moment (μB/atom) = 0.000
- uncorrected formation energy (eV per atom) = 0.77

Computed, not measured: Co4ReW after structural relaxation at the GGA-PBEsol level of DFT.

Unit cell a=4.5952 b=4.5952 c=4.5952 alpha=60.00 beta=60.00 gamma=60.00
Closest atoms and distances in Å follow each position.
Sites, in units of the cell vectors:
Co 0.3753 0.3753 0.3753  6 Co 2.29-2.30
Co 0.3753 0.3753 0.8740  6 Co 2.29-2.30
Co 0.8740 0.3753 0.3753  6 Co 2.29-2.30
Co 0.3753 0.8740 0.3753  6 Co 2.29-2.30
Re 0.7500 0.7500 0.7500  12 Co 2.69, 4 W 2.81
W 0.0000 0.0000 0.0000  12 Co 2.69, 4 Re 2.81

Calculated values
- symmetry = F-43m
- crystal system = cubic
- calculated formation energy (eV/f.u.) = -0.1
- magnetic moment (μB/atom) = 0.426

Computed, not measured: SrScHg2 after structural relaxation at the GGA-PBEsol level of DFT.

Unit cell a=3.6079 b=3.6079 c=7.5862 alpha=90.00 beta=90.00 gamma=90.00
Closest atoms and distances in Å follow each position.
Sites, in units of the cell vectors:
Sr 0.5000 0.5000 0.0000  8 Hg 3.38, 4 Sr 3.61
Sc 0.5000 0.5000 0.5000  8 Hg 3.00
Hg 0.0000 0.0000 0.2927  4 Sc 3.00, 1 Hg 3.14
Hg 0.0000 0.0000 0.7073  4 Sc 3.00, 1 Hg 3.14

Calculated values
- symmetry = P4/mmm
- crystal system = tetragonal
- calculated formation energy (eV/f.u.) = -2.1
- magnetic moment (μB/atom) = 0.000

Computed, not measured: NaCd2Ge3O9 after structural relaxation at the GGA-PBEsol level of DFT.

Unit cell a=7.0768 b=7.1445 c=8.0153 alpha=93.48 beta=102.66 gamma=90.17
Closest atoms and distances in Å follow each position.
Sites, in units of the cell vectors:
O 0.2886 0.0639 0.6741  1 Ge 1.74
O 0.5189 0.2722 0.4145  2 Ge 1.78-1.80
O 0.4800 0.4379 0.8110  1 Ge 1.76
O 0.7943 0.1049 0.6776  1 Ge 1.73
O 0.2057 0.8951 0.3224  1 Ge 1.73
O 0.6107 0.8410 0.9447  1 Ge 1.74
O 0.8889 0.1688 0.0474  1 Ge 1.74
O 0.4811 0.7278 0.5855  2 Ge 1.78-1.80
O 0.8118 0.5749 0.7405  2 Ge 1.76-1.77
O 0.1111 0.8312 0.9526  1 Ge 1.74
O 0.1810 0.4385 0.8506  1 Ge 1.75
O 0.8190 0.5615 0.1494  1 Ge 1.75
O 0.7114 0.9361 0.3259  1 Ge 1.74
O 0.0852 0.7055 0.5896  2 Ge 1.79-1.80
O 0.9148 0.2945 0.4104  2 Ge 1.79-1.80
O 0.3893 0.1590 0.0553  1 Ge 1.74
O 0.5200 0.5621 0.1890  1 Ge 1.76
O 0.1882 0.4251 0.2595  2 Ge 1.76-1.77
Na 0.7429 0.6445 0.4430  6 O 2.33-2.56
Na 0.2571 0.3555 0.5570  6 O 2.33-2.56
Ge 0.9425 0.3538 0.2033  4 O 1.74-1.79
Ge 0.0575 0.6462 0.7967  4 O 1.74-1.79
Ge 0.4059 0.3475 0.2061  4 O 1.74-1.80
Ge 0.5941 0.6525 0.7939  4 O 1.74-1.80
Ge 0.7356 0.1402 0.4603  4 O 1.73-1.80
Ge 0.2644 0.8598 0.5397  4 O 1.73-1.80
Cd 0.5856 0.1423 0.8521  6 O 2.25-2.36
Cd 0.9117 0.8676 0.1480  6 O 2.24-2.38
Cd 0.0883 0.1324 0.8520  6 O 2.24-2.38
Cd 0.4144 0.8577 0.1479  6 O 2.25-2.36

Calculated values
- symmetry = P-1
- crystal system = triclinic
- magnetic moment (μB/atom) = 0.068
- uncorrected formation energy (eV per atom) = -1.44

Computed, not measured: ZrFe2Tc after structural relaxation at the GGA-PBEsol level of DFT.

Unit cell a=2.6800 b=4.9036 c=4.9036 alpha=115.38 beta=98.86 gamma=98.86
Closest atoms and distances in Å follow each position.
Sites, in units of the cell vectors:
Tc 0.5000 0.0000 0.0000  4 Fe 2.61, 2 Zr 2.62, 2 Tc 2.68
Zr 0.5000 0.5000 0.5000  4 Fe 2.61, 2 Tc 2.62, 2 Zr 2.68
Fe 0.0000 0.5000 0.0000  2 Tc 2.61, 2 Zr 2.61, 4 Fe 2.62-2.68
Fe 0.0000 0.0000 0.5000  2 Zr 2.61, 2 Tc 2.61, 4 Fe 2.62-2.68

Calculated values
- symmetry = C2/m
- crystal system = monoclinic
- calculated formation energy (eV/f.u.) = 0.5
- magnetic moment (μB/atom) = 0.960

Computed, not measured: ScTl2Mo after structural relaxation at the GGA-PBEsol level of DFT.

Unit cell a=3.6760 b=3.6760 c=6.0696 alpha=90.00 beta=90.00 gamma=90.00
Closest atoms and distances in Å follow each position.
Sites, in units of the cell vectors:
Mo 0.0000 0.0000 0.5122  4 Sc 2.91, 6 Tl 2.93-3.14
Sc 0.5000 0.5000 0.7260  5 Tl 2.79-3.07, 4 Mo 2.91
Tl 0.5000 0.5000 0.2665  1 Sc 2.79, 4 Mo 3.00, 4 Tl 3.08
Tl 0.0000 0.0000 0.9954  2 Mo 2.93-3.14, 4 Sc 3.07, 4 Tl 3.08

Calculated values
- symmetry = P4mm
- crystal system = tetragonal
- calculated formation energy (eV/f.u.) = 1.1
- magnetic moment (μB/atom) = 0.000

Computed, not measured: TaPd2C after structural relaxation at the GGA-PBEsol level of DFT.

Unit cell a=4.5222 b=5.4331 c=5.4331 alpha=80.03 beta=65.41 gamma=65.41
Closest atoms and distances in Å follow each position.
Sites, in units of the cell vectors:
Ta 0.0000 0.0000 0.0000  2 C 2.26
Ta 0.7500 0.5000 0.5000  2 C 2.26
Pd 0.3750 0.1042 0.3958  2 C 2.10
Pd 0.5208 0.6042 0.1042  2 C 2.10
Pd 0.2292 0.3958 0.8958  2 C 2.10
Pd 0.8750 0.8958 0.6042  2 C 2.10
C 0.5000 0.0000 0.0000  4 Pd 2.10, 2 Ta 2.26
C 0.2500 0.5000 0.5000  4 Pd 2.10, 2 Ta 2.26

Calculated values
- symmetry = I-42d
- crystal system = tetragonal
- calculated formation energy (eV/f.u.) = 1.3
- magnetic moment (μB/atom) = 0.000